Entry 1:
# LiCuAs2 PBE-GGA relaxed
# Crystal system   cubic
# Density of states at the Fermi level   0.5691 states/eV/atom
# Distance to the lowest polymorph of the same formula   282 meV per atom
data_LiCuAs2
_chemical_formula_sum 'Li4 Cu4 As8'
_space_group_name_H-M_alt 'F -4 3 m'
_space_group_IT_number 216
_space_group_name_Hall 'F -4 2 3'
_cell_length_a 6.4337
_cell_length_b 6.4337
_cell_length_c 6.4337
_cell_angle_alpha 90.00
_cell_angle_beta 90.00
_cell_angle_gamma 90.00
loop_
_atom_site_label
_atom_site_type_symbol
_atom_site_fract_x
_atom_site_fract_y
_atom_site_fract_z
Li1 Li 0.0000 0.0000 0.0000
Cu1 Cu 0.2500 0.2500 0.2500
As1 As 0.0000 0.0000 0.5000
As2 As 0.2500 0.2500 0.7500

Entry 2:
# Tb4SmCd PBE-GGA relaxed
# Crystal system   tetragonal
# Density of states at the Fermi level   1.3642 states/eV/atom
# Distance to the lowest polymorph of the same formula   0 meV per atom
data_Tb4SmCd
_chemical_formula_sum 'Tb4 Sm1 Cd1'
_space_group_name_H-M_alt 'P 4/m m m'
_space_group_IT_number 123
_space_group_name_Hall '-P 4 2'
_cell_length_a 3.5907
_cell_length_b 3.5907
_cell_length_c 14.1872
_cell_angle_alpha 90.00
_cell_angle_beta 90.00
_cell_angle_gamma 90.00
loop_
_atom_site_label
_atom_site_type_symbol
_atom_site_fract_x
_atom_site_fract_y
_atom_site_fract_z
Tb1 Tb 0.0000 0.0000 0.1458
Tb2 Tb 0.5000 0.5000 0.3212
Sm1 Sm 0.0000 0.0000 0.5000
Cd1 Cd 0.5000 0.5000 0.0000

Entry 3:
# La8PrHo2 PBE-GGA relaxed
# Crystal system   monoclinic
# Density of states at the Fermi level   1.6339 states/eV/atom
# Distance to the lowest polymorph of the same formula   39 meV per atom
data_La8PrHo2
_chemical_formula_sum 'La16 Pr2 Ho4'
_space_group_name_H-M_alt 'C 1 2/m 1'
_space_group_IT_number 12
_cell_length_a 19.6959
_cell_length_b 7.2105
_cell_length_c 5.7960
_cell_angle_alpha 90.00
_cell_angle_beta 92.94
_cell_angle_gamma 90.00
loop_
_space_group_symop_operation_xyz
'x,y,z'
'-x,-y,-z'
'-x,y,-z'
'x,-y,z'
'x+1/2,y+1/2,z'
'-x+1/2,-y+1/2,-z'
'-x+1/2,y+1/2,-z'
'x+1/2,-y+1/2,z'
loop_
_atom_site_label
_atom_site_type_symbol
_atom_site_fract_x
_atom_site_fract_y
_atom_site_fract_z
La1 La 0.0440 0.0000 0.2389
La2 La 0.1331 0.2258 0.7356
La3 La 0.1857 0.5000 0.2362
Pr1 Pr 0.0000 0.5000 0.0000
Ho1 Ho 0.2161 0.0000 0.2548

no.,final energy (eV per atom),ΔE_f (eV/atom)
1,-3.737,0.091
2,-4.118,-0.092
3,-4.716,0.135